(1)
VASP calculation (PBE-GGA) on an optimized crystal structure of LaSm2S.

The space group is R-3m. As for the uncorrected formation energy: -0.78 eV per atom. Its calculated volume is 127.19 Å³/cell.

CIF file:
```
data_LaSm2S
_symmetry_space_group_name_H-M 'P 1'
_symmetry_Int_Tables_number 1
_symmetry_space_group_name_Hall 'P 1'
_cell_length_a 3.764
_cell_length_b 3.764
_cell_length_c 10.590
_cell_angle_alpha 79.76
_cell_angle_beta 79.76
_cell_angle_gamma 60.00
loop_
_atom_site_label
_atom_site_type_symbol
_atom_site_fract_x
_atom_site_fract_y
_atom_site_fract_z
S1 S 0.500 0.500 0.500
Sm1 Sm 0.113 0.113 0.662
Sm2 Sm 0.887 0.887 0.338
La1 La 0.000 0.000 0.000
```

---

(2)
VASP calculation (PBE-GGA) on an optimized crystal structure of RbMgAl2I8.

The space group is R-3. As for the uncorrected formation energy: -0.75 eV per atom. Its calculated volume is 544.45 Å³/cell.

CIF file:
```
data_RbMgAl2I8
_symmetry_space_group_name_H-M 'P 1'
_symmetry_Int_Tables_number 1
_symmetry_space_group_name_Hall 'P 1'
_cell_length_a 7.561
_cell_length_b 7.561
_cell_length_c 11.831
_cell_angle_alpha 71.37
_cell_angle_beta 71.37
_cell_angle_gamma 60.00
loop_
_atom_site_label
_atom_site_type_symbol
_atom_site_fract_x
_atom_site_fract_y
_atom_site_fract_z
Rb1 Rb 0.500 0.500 0.500
Mg1 Mg 0.000 0.000 0.000
Al1 Al 0.248 0.248 0.255
Al2 Al 0.752 0.752 0.745
I1 I 0.171 0.171 0.487
I2 I 0.592 0.284 0.178
I3 I 0.829 0.829 0.513
I4 I 0.946 0.592 0.178
I5 I 0.054 0.408 0.822
I6 I 0.284 0.946 0.178
I7 I 0.716 0.054 0.822
I8 I 0.408 0.716 0.822
```

---

Look up the uncorrected formation energy of the second one.
-0.75 eV per atom